(1)
Rb2TaAgSe4 | the Alexandria database | PBE | optimized geometry; space-group type = Fddd; uncorrected formation energy = -0.93 eV/atom
1.0
0.000 7.157 12.651
3.047 0.000 12.651
3.047 7.157 0.000
Rb Ta Ag Se
4 2 2 8
Direct
0.054 0.054 0.696 Rb
0.304 0.304 0.946 Rb
0.696 0.696 0.054 Rb
0.946 0.946 0.304 Rb
0.375 0.375 0.375 Ta
0.625 0.625 0.625 Ta
0.125 0.125 0.125 Ag
0.875 0.875 0.875 Ag
0.003 0.360 0.450 Se
0.313 0.550 0.640 Se
0.360 0.003 0.687 Se
0.450 0.687 0.003 Se
0.550 0.313 0.997 Se
0.640 0.997 0.313 Se
0.687 0.450 0.360 Se
0.997 0.640 0.550 Se


(2)
Mg3H5Ir2 | the Alexandria database | PBE | optimized geometry; energy above the most stable polymorph in this dataset = 0.0 meV per atom; space-group type = Cm
1.0
3.967 -2.285 0.000
3.967 2.285 0.000
-0.073 0.000 5.581
Mg H Ir
3 5 2
Direct
0.000 0.000 0.000 Mg
0.329 0.329 0.653 Mg
0.663 0.663 0.316 Mg
0.151 0.660 0.323 H
0.327 0.840 0.657 H
0.660 0.151 0.323 H
0.839 0.839 0.663 H
0.840 0.327 0.657 H
0.329 0.329 0.142 Ir
0.672 0.672 0.828 Ir


What did the first record say?
Rb2TaAgSe4 | the Alexandria database | PBE | optimized geometry; space-group type = Fddd; uncorrected formation energy = -0.93 eV/atom
1.0
0.000 7.157 12.651
3.047 0.000 12.651
3.047 7.157 0.000
Rb Ta Ag Se
4 2 2 8
Direct
0.054 0.054 0.696 Rb
0.304 0.304 0.946 Rb
0.696 0.696 0.054 Rb
0.946 0.946 0.304 Rb
0.375 0.375 0.375 Ta
0.625 0.625 0.625 Ta
0.125 0.125 0.125 Ag
0.875 0.875 0.875 Ag
0.003 0.360 0.450 Se
0.313 0.550 0.640 Se
0.360 0.003 0.687 Se
0.450 0.687 0.003 Se
0.550 0.313 0.997 Se
0.640 0.997 0.313 Se
0.687 0.450 0.360 Se
0.997 0.640 0.550 Se